LiSnPO4 after structural relaxation. Source: Alexandria, functional PBE.

Output
E_tot, eV/cell: -542.808
Formation energy without anion corrections, meV/atom: -2011
N(E_F), states/eV/atom: 0.000
Space group: P2_1/c, No. 14

Cell lengths 7.3087, 9.5799, 19.5473 Å; angles 59.50, 90.00, 90.00 degrees
With the nearest neighbours (Å) after each atom.
Sites, in units of the cell vectors:
O: 0.9546 0.3098 0.0244  1 P 1.56
O: 0.6883 0.8499 0.9940  1 P 1.59
O: 0.6148 0.5420 0.3246  1 P 1.53
O: 0.1148 0.4580 0.1754  1 P 1.53
O: 0.2424 0.8506 0.8522  1 P 1.55
O: 0.4588 0.4758 0.1745  1 P 1.56
O: 0.2127 0.3721 0.8065  1 P 1.60
O: 0.9588 0.5242 0.3255  1 P 1.56
O: 0.8036 0.8056 0.2498  1 P 1.56
O: 0.3036 0.1944 0.2502  1 P 1.56
O: 0.2203 0.0087 0.1472  1 P 1.55
O: 0.3852 0.4580 0.6754  1 P 1.53
O: 0.5412 0.5242 0.8255  1 P 1.56
O: 0.2190 0.8507 0.0712  1 P 1.54
O: 0.5454 0.3098 0.5244  1 P 1.56
O: 0.7576 0.1494 0.1478  1 P 1.55
O: 0.7810 0.1493 0.9288  1 P 1.54
O: 0.1152 0.6702 0.4901  1 P 1.53
O: 0.1883 0.1501 0.5060  1 P 1.59
O: 0.2873 0.3721 0.3065  1 P 1.60
O: 0.5124 0.9132 0.1114  1 P 1.56
O: 0.0124 0.0868 0.3886  1 P 1.56
O: 0.3848 0.6702 0.9901  1 P 1.53
O: 0.6964 0.8056 0.7498  1 P 1.56
O: 0.7424 0.1494 0.6478  1 P 1.55
O: 0.9876 0.9132 0.6114  1 P 1.56
O: 0.1964 0.1944 0.7502  1 P 1.56
O: 0.6152 0.3298 0.0099  1 P 1.53
O: 0.3117 0.1501 0.0060  1 P 1.59
O: 0.7203 0.9913 0.3528  1 P 1.55
O: 0.8117 0.8499 0.4940  1 P 1.59
O: 0.7290 0.4563 0.5821  1 P 1.60
O: 0.0412 0.4758 0.6745  1 P 1.56
O: 0.2290 0.5437 0.9179  1 P 1.60
O: 0.7873 0.6279 0.1935  1 P 1.60
O: 0.4876 0.0868 0.8886  1 P 1.56
O: 0.7127 0.6279 0.6935  1 P 1.60
O: 0.2576 0.8506 0.3522  1 P 1.55
O: 0.7710 0.4563 0.0821  1 P 1.60
O: 0.8848 0.3298 0.5099  1 P 1.53
O: 0.2797 0.0087 0.6472  1 P 1.55
O: 0.2810 0.8507 0.5712  1 P 1.54
O: 0.7797 0.9913 0.8528  1 P 1.55
O: 0.0454 0.6902 0.9756  1 P 1.56
O: 0.4546 0.6902 0.4756  1 P 1.56
O: 0.7190 0.1493 0.4288  1 P 1.54
O: 0.2710 0.5437 0.4179  1 P 1.60
O: 0.8852 0.5420 0.8246  1 P 1.53
P: 0.8142 0.0228 0.4150  4 O 1.54-1.59
P: 0.7718 0.3083 0.0663  4 O 1.53-1.60
P: 0.2117 0.3780 0.7233  4 O 1.53-1.60
P: 0.1858 0.9772 0.5850  4 O 1.54-1.59
P: 0.7117 0.6220 0.7767  4 O 1.53-1.60
P: 0.7282 0.3083 0.5663  4 O 1.53-1.60
P: 0.3142 0.9772 0.0850  4 O 1.54-1.59
P: 0.2883 0.3780 0.2233  4 O 1.53-1.60
P: 0.2718 0.6917 0.4337  4 O 1.53-1.60
P: 0.2282 0.6917 0.9337  4 O 1.53-1.60
P: 0.6858 0.0228 0.9150  4 O 1.54-1.59
P: 0.7883 0.6220 0.2767  4 O 1.53-1.60
Sn: 0.3060 0.0637 0.3886  2 O 2.16-2.34
Sn: 0.2435 0.3137 0.5546  3 O 2.24-2.46
Sn: 0.1940 0.0637 0.8886  2 O 2.16-2.34
Sn: 0.7435 0.6863 0.9454  3 O 2.24-2.46
Sn: 0.7526 0.3845 0.2097  3 O 2.20-2.29
Sn: 0.6940 0.9363 0.6114  2 O 2.16-2.34
Sn: 0.2565 0.3137 0.0546  3 O 2.24-2.46
Sn: 0.2474 0.6155 0.7903  3 O 2.20-2.29
Sn: 0.7565 0.6863 0.4454  3 O 2.24-2.46
Sn: 0.7474 0.3845 0.7097  3 O 2.20-2.29
Sn: 0.8060 0.9363 0.1114  2 O 2.16-2.34
Sn: 0.2526 0.6155 0.2903  3 O 2.20-2.29
Li: 0.5341 0.2751 0.9281  4 O 2.01-2.20
Li: 0.7486 0.9930 0.7573  3 O 1.87-1.91
Li: 0.7514 0.9930 0.2573  3 O 1.87-1.91
Li: 0.0341 0.7249 0.5719  4 O 2.01-2.20
Li: 0.0957 0.6664 0.0800  3 O 1.91-1.97
Li: 0.5957 0.3336 0.4200  3 O 1.91-1.97
Li: 0.4043 0.6664 0.5800  3 O 1.91-1.97
Li: 0.2486 0.0070 0.7427  3 O 1.87-1.91
Li: 0.9043 0.3336 0.9200  3 O 1.91-1.97
Li: 0.2514 0.0070 0.2427  3 O 1.87-1.91
Li: 0.4659 0.7249 0.0719  4 O 2.01-2.20
Li: 0.9659 0.2751 0.4281  4 O 2.01-2.20